1.
Below is a relaxed YTiTl2O6 crystal, with properties calculated at the GGA-PBE level.

Calculated values
The calculation puts the total magnetic moment at 0.0 μB per cell. As for the space group: R3, No. 146. The value obtained for the energy relative to the elements, uncorrected is -2.00 eV per atom. The raw total energy comes out at -68.8 eV for the cell shown. The calculated density is 7608 kg/m3.

abc: 5.690 5.691 5.976
angles: 61.57 61.58 60.01
Positions (direct):
Y  0.810  0.810  0.569
Ti  0.312  0.312  0.064
Tl  0.541  0.541  0.376
Tl  0.034  0.034  0.899
O  0.574  0.168  0.251
O  0.168  0.006  0.251
O  0.006  0.574  0.251
O  0.428  0.677  0.785
O  0.677  0.111  0.784
O  0.111  0.428  0.785

***

2.
Below is a relaxed Ac5HPt2Rh crystal, with properties calculated at the GGA-PBE level.

Calculated values
The calculation puts the total magnetic moment at 0.7 μB per cell. As for the space group: Cmc2_1, No. 36. The raw total energy comes out at -100.2 eV for the cell shown. The calculated density is 10387 kg/m3.

abc: 4.219 9.477 13.361
angles: 90.00 90.00 102.86
Positions (direct):
Ac  0.357  0.714  0.022
Ac  0.695  0.391  0.866
Ac  0.500  0.999  0.764
Ac  0.302  0.603  0.678
Ac  0.958  0.915  0.510
Ac  0.643  0.286  0.522
Ac  0.305  0.609  0.366
Ac  0.500  0.001  0.264
Ac  0.698  0.397  0.178
Ac  0.042  0.085  0.010
H  0.565  0.129  0.921
H  0.435  0.871  0.421
Pt  0.879  0.758  0.837
Pt  0.123  0.246  0.703
Pt  0.121  0.242  0.337
Pt  0.877  0.754  0.203
Rh  0.800  0.600  0.522
Rh  0.200  0.400  0.022

***

3.
Below is a relaxed Li3DyAg7 crystal, with properties calculated at the GGA-PBE level.

Calculated values
The calculation puts the total magnetic moment at 0.0 μB per cell. As for the space group: C2/m, No. 12. The raw total energy comes out at -30.7 eV for the cell shown. The calculated density is 7367 kg/m3.

abc: 5.709 7.535 7.535
angles: 79.36 125.13 125.13
Positions (direct):
Li  0.000  0.770  0.230
Li  0.500  0.000  0.000
Li  0.000  0.230  0.770
Dy  0.500  0.500  0.500
Ag  0.313  0.178  0.178
Ag  0.316  0.034  0.586
Ag  0.684  0.414  0.966
Ag  0.316  0.586  0.034
Ag  0.000  0.500  0.500
Ag  0.684  0.966  0.414
Ag  0.687  0.822  0.822

***

4.
Below is a relaxed Li3Pa3S8 crystal, with properties calculated at the GGA-PBE level.

Calculated values
The calculation puts the total magnetic moment at 2.0 μB per cell. As for the space group: R-3m, No. 166. The value obtained for the energy relative to the elements, uncorrected is -1.51 eV per atom. The raw total energy comes out at -88.4 eV for the cell shown. The calculated density is 4677 kg/m3.

abc: 7.672 7.672 7.672
angles: 63.59 63.59 63.59
Positions (direct):
Li  0.389  0.389  0.389
Li  0.611  0.611  0.611
Li  0.000  0.000  0.000
Pa  0.500  0.000  0.000
Pa  0.000  0.500  0.000
Pa  0.000  0.000  0.500
S  0.754  0.754  0.754
S  0.224  0.756  0.756
S  0.756  0.224  0.756
S  0.756  0.756  0.224
S  0.246  0.246  0.246
S  0.776  0.244  0.244
S  0.244  0.776  0.244
S  0.244  0.244  0.776

***

5.
Below is a relaxed Re2SiAg crystal, with properties calculated at the GGA-PBE level.

Calculated values
The calculation puts the total magnetic moment at 0.0 μB per cell. As for the space group: Cm, No. 8. The value obtained for the energy relative to the elements, uncorrected is 0.43 eV per atom. The raw total energy comes out at -31.5 eV for the cell shown. The calculated density is 14002 kg/m3.

abc: 4.709 4.709 4.797
angles: 81.57 81.57 35.00
Positions (direct):
Ag  0.251  0.251  0.261
Re  0.007  0.007  0.972
Re  0.752  0.752  0.759
Si  0.490  0.490  0.508

***

6.
Below is a relaxed KRb2AlCl6 crystal, with properties calculated at the GGA-PBE level.

Calculated values
The calculation puts the total magnetic moment at 0.0 μB per cell. As for the space group: P-3m1, No. 164. The value obtained for the energy relative to the elements, uncorrected is -1.80 eV per atom. The raw total energy comes out at -35.9 eV for the cell shown. The calculated density is 2127 kg/m3.

abc: 7.671 7.269 7.269
angles: 120.00 90.00 90.00
Positions (direct):
K  0.500  0.000  0.000
Rb  0.136  0.333  0.667
Rb  0.864  0.667  0.333
Al  0.000  0.000  0.000
Cl  0.820  0.153  0.305
Cl  0.820  0.153  0.847
Cl  0.820  0.695  0.847
Cl  0.180  0.847  0.153
Cl  0.180  0.305  0.153
Cl  0.180  0.847  0.695

***

7.
Below is a relaxed BaPuHfO6 crystal, with properties calculated at the GGA-PBE level.

Calculated values
The calculation puts the total magnetic moment at 4.0 μB per cell. As for the space group: P-31c, No. 163. The value obtained for the energy relative to the elements, uncorrected is -2.99 eV per atom. The raw total energy comes out at -165.7 eV for the cell shown. The calculated density is 6952 kg/m3.

abc: 5.649 5.649 11.336
angles: 90.00 90.00 120.00
Positions (direct):
Ba  0.000  0.000  0.000
Ba  0.000  0.000  0.500
Pu  0.667  0.333  0.250
Pu  0.333  0.667  0.750
Hf  0.333  0.667  0.250
Hf  0.667  0.333  0.750
O  0.621  0.618  0.152
O  0.998  0.379  0.152
O  0.379  0.998  0.652
O  0.002  0.621  0.848
O  0.382  0.379  0.348
O  0.998  0.618  0.348
O  0.618  0.998  0.848
O  0.621  0.002  0.348
O  0.002  0.382  0.652
O  0.382  0.002  0.152
O  0.618  0.621  0.652
O  0.379  0.382  0.848

***

8.
Below is a relaxed Pu2BeO8 crystal, with properties calculated at the GGA-PBE level.

Calculated values
The calculation puts the total magnetic moment at 2.0 μB per cell. As for the space group: C2/m, No. 12. The value obtained for the energy relative to the elements, uncorrected is -1.87 eV per atom. The raw total energy comes out at -92.6 eV for the cell shown. The calculated density is 6797 kg/m3.

abc: 4.190 6.321 6.321
angles: 67.43 97.38 97.38
Positions (direct):
Pu  0.909  0.719  0.719
Pu  0.091  0.281  0.281
Be  0.000  0.000  0.000
O  0.018  0.289  0.957
O  0.982  0.043  0.711
O  0.415  0.730  0.730
O  0.585  0.270  0.270
O  0.018  0.957  0.289
O  0.982  0.711  0.043
O  0.769  0.550  0.550
O  0.231  0.450  0.450

***

9.
Below is a relaxed Cs2MgTe2 crystal, with properties calculated at the GGA-PBE level.

Calculated values
The calculation puts the total magnetic moment at 0.0 μB per cell. As for the space group: P4/mbm, No. 127. The value obtained for the energy relative to the elements, uncorrected is -0.69 eV per atom. The raw total energy comes out at -26.0 eV for the cell shown. The calculated density is 4232 kg/m3.

abc: 8.475 8.475 5.958
angles: 90.00 90.00 90.00
Positions (direct):
Cs  0.147  0.647  0.500
Cs  0.647  0.853  0.500
Cs  0.853  0.353  0.500
Cs  0.353  0.147  0.500
Mg  0.000  0.000  0.000
Mg  0.500  0.500  0.000
Te  0.322  0.822  0.000
Te  0.822  0.678  0.000
Te  0.678  0.178  0.000
Te  0.178  0.322  0.000

***

10.
Below is a relaxed Cr2CoHg crystal, with properties calculated at the GGA-PBE level.

Calculated values
The calculation puts the total magnetic moment at 0.9 μB per cell. As for the space group: Cm, No. 8. The raw total energy comes out at -24.6 eV for the cell shown. The calculated density is 10393 kg/m3.

abc: 4.663 4.663 4.649
angles: 74.27 74.27 36.85
Positions (direct):
Co  0.267  0.267  0.211
Cr  0.995  0.995  0.002
Cr  0.732  0.732  0.797
Hg  0.505  0.505  0.490

***

11.
Below is a relaxed Ac2BeCrPt6 crystal, with properties calculated at the GGA-PBE level.

Calculated values
The calculation puts the total magnetic moment at 3.0 μB per cell. As for the space group: P-1, No. 2. The raw total energy comes out at -65.1 eV for the cell shown. The calculated density is 13630 kg/m3.

abc: 6.509 6.883 6.887
angles: 47.91 74.67 94.94
Positions (direct):
Ac  0.712  0.256  0.545
Ac  0.288  0.744  0.455
Be  0.500  0.500  0.000
Cr  0.000  0.000  0.000
Pt  0.251  0.243  0.485
Pt  0.875  0.745  0.870
Pt  0.251  0.737  0.992
Pt  0.749  0.263  0.008
Pt  0.125  0.255  0.130
Pt  0.749  0.757  0.515

***

12.
Below is a relaxed SOF3 crystal, with properties calculated at the GGA-PBE level.

Calculated values
For the energy above the lowest structure with this stoichiometry, the calculation gives 0 meV per atom. The calculation puts the total magnetic moment at 2.0 μB per cell. As for the space group: Cmc2_1, No. 36. The value obtained for the energy relative to the elements, uncorrected is -1.26 eV per atom. The raw total energy comes out at -42.0 eV for the cell shown. The calculated density is 2180 kg/m3.

abc: 5.003 7.304 5.702
angles: 129.83 90.00 90.00
Positions (direct):
S  0.146  0.257  0.514
S  0.646  0.743  0.486
O  0.323  0.388  0.775
O  0.823  0.612  0.225
F  0.821  0.158  0.317
F  0.321  0.842  0.683
F  0.248  0.311  0.298
F  0.748  0.012  0.702
F  0.748  0.689  0.702
F  0.248  0.988  0.298